# 1
A PBEsol-optimized structure of Cs3Cu2Cl5. Source: Alexandria via LeMat-Bulk, functional meta-GGA SCAN.

```
40
Lattice="9.1415 0.0000 0.0000 0.0000 10.3650 0.0000 0.0000 0.0000 12.8842" Properties=species:S:1:pos:R:3 pbc="T T T"
Cl 6.2971 5.8643 7.1361
Cl 1.6355 2.5913 2.6536
Cu 2.1742 7.7738 11.1395
Cl 6.2971 9.6833 7.1361
Cl 1.8474 7.7738 2.6880
Cu 1.8759 2.5913 7.0958
Cl 4.2916 2.5913 12.7505
Cs 4.2247 0.1274 2.3105
Cl 4.8500 7.7738 0.1337
Cs 0.9290 2.5913 12.2736
Cl 7.5061 7.7738 10.2306
Cu 7.2656 7.7738 5.7884
Cu 6.7449 7.7738 8.1868
Cs 4.9168 10.2377 10.5737
Cl 1.7264 5.8643 12.1902
Cs 8.2126 7.7738 0.6106
Cs 8.7955 0.1274 4.1316
Cs 4.2247 5.0552 2.3105
Cs 5.4998 2.5913 7.0527
Cu 6.9674 2.5913 1.7447
Cu 2.3966 2.5913 4.6974
Cl 1.7264 9.6833 12.1902
Cl 2.8444 0.6818 5.7481
Cs 3.6418 7.7738 5.8315
Cs 0.3461 10.2377 8.7526
Cl 6.4182 7.7738 3.7541
Cs 4.9168 5.3099 10.5737
Cl 7.2941 2.5913 10.1962
Cs 0.3461 5.3099 8.7526
Cs 8.7955 5.0552 4.1316
Cl 6.2062 2.5913 3.7885
Cl 0.2792 7.7738 6.3084
Cl 2.9353 7.7738 9.0957
Cl 2.7233 2.5913 9.1301
Cl 8.8623 2.5913 6.5758
Cl 7.4152 0.6818 0.6940
Cu 6.4467 2.5913 12.2305
Cl 7.4152 4.5008 0.6940
Cu 2.6949 7.7738 0.6537
Cl 2.8444 4.5008 5.7481
```

D(E_F) = 0.000 states/eV per atom
symmetry = Pnma
calculated total energy = -1.4646 Ry/atom


# 2
A PBEsol-optimized structure of Cs2InCuCl6. Source: Alexandria via LeMat-Bulk, functional meta-GGA SCAN.

```
10
Lattice="-2.6736 5.1825 4.1141 -6.6186 -0.5709 2.6080 -1.0016 -1.1389 6.9737" Properties=species:S:1:pos:R:3 pbc="T T T"
Cu -5.1469 1.7363 6.8479
Cl -7.1840 3.1493 6.7861
Cl -4.4236 2.8702 8.9316
Cl -3.1097 0.3233 6.9097
Cs -2.5734 0.8682 3.4240
In 0.0000 0.0000 0.0000
Cl -6.3623 0.0428 8.1914
Cs -7.7203 2.6045 10.2719
Cl -5.8701 0.6025 4.7642
Cl -3.9314 3.4299 5.5044
```

D(E_F) = 0.219 states/eV per atom
symmetry = Fm-3m
calculated total energy = -1.3783 Ry/atom


# 3
A PBEsol-optimized structure of Cs2LaCuCl6. Source: Alexandria via LeMat-Bulk, functional meta-GGA SCAN.

```
10
Lattice="-3.7543 -4.0619 -4.9265 3.3715 -5.5517 -3.5602 -1.7682 -7.0200 1.5673" Properties=species:S:1:pos:R:3 pbc="T T T"
Cl -3.1924 -9.6331 -3.4119
Cl -2.3507 -6.2914 -4.1579
Cl 1.0413 -7.0006 -3.5076
La 0.0000 0.0000 0.0000
Cl -1.4053 -7.6995 -1.0668
Cl 0.1996 -10.3423 -2.7615
Cs -0.5378 -4.1584 -1.7299
Cs -1.6133 -12.4752 -5.1896
Cl -0.7458 -8.9341 -5.8527
Cu -1.0755 -8.3168 -3.4597
```

D(E_F) = 0.000 states/eV per atom
symmetry = Fm-3m
calculated total energy = -1.4875 Ry/atom


# 4
A PBEsol-optimized structure of Cs2PrCuCl6. Source: Alexandria via LeMat-Bulk, functional meta-GGA SCAN.

```
10
Lattice="7.3818 0.0000 0.0000 3.6909 6.3928 0.0000 3.6909 2.1309 6.0272" Properties=species:S:1:pos:R:3 pbc="T T T"
Cu 0.0000 0.0000 0.0000
Cs 3.6909 2.1309 1.5068
Pr 7.3818 4.2619 3.0136
Cl 7.3818 2.0373 1.4406
Cl 5.4552 3.1496 4.5866
Cl 9.3084 5.3742 1.4406
Cl 7.3818 6.4865 4.5866
Cl 5.4552 5.3742 1.4406
Cl 9.3084 3.1496 4.5866
Cs 11.0727 6.3928 4.5204
```

D(E_F) = 0.000 states/eV per atom
symmetry = Fm-3m
calculated total energy = -1.4863 Ry/atom